Version a
A plane-wave DFT calculation with PBE with a Hubbard U was carried out for a relaxed structure of CdFeF3.

Results
calculated volume = 17.07 A^3/atom

a = 4.4025 Å, b = 4.4025 Å, c = 4.4025 Å
α = 90.00°, β = 90.00°, γ = 90.00°
With the nearest neighbours (Å) after each atom.
Positions (direct):
Cd 0.0000 0.0000 0.0000  6 F 2.20
Fe 0.5000 0.5000 0.5000  12 F 3.11
F 0.0000 0.0000 0.5000  2 Cd 2.20
F 0.0000 0.5000 0.0000  2 Cd 2.20
F 0.5000 0.0000 0.0000  2 Cd 2.20

---

Version b
A plane-wave DFT calculation with PBE with a Hubbard U was carried out for a relaxed structure of CdFeF3.

Results
calculated volume = 14.37 A^3/atom

a = 4.1570 Å, b = 4.1570 Å, c = 4.1570 Å
α = 90.00°, β = 90.00°, γ = 90.00°
With the nearest neighbours (Å) after each atom.
Positions (direct):
Cd 0.0000 0.0000 0.0000  12 F 2.94
Fe 0.5000 0.5000 0.5000  6 F 2.08
F 0.0000 0.5000 0.5000  2 Fe 2.08
F 0.5000 0.0000 0.5000  2 Fe 2.08
F 0.5000 0.5000 0.0000  2 Fe 2.08

---

If you had to bet on the most stable structure above, which would it be? Bet on version b.